i.
The following is a DFT calculation (GGA-PBE) of a relaxed structure of NaCa3Tl2.

```
NaCa3Tl2
1.0
-3.103 2.481 -1.094
-3.606 -3.636 1.981
2.144 5.505 6.399
Ca Na Tl
3 1 2
direct
0.500 0.822 0.645
0.500 0.178 0.355
0.500 0.500 0.000
0.000 0.000 0.000
0.000 0.659 0.317
0.000 0.341 0.683
```

Output
symmetry: Cmmm
magnetic moment: 0.0 μB per cell

***

ii.
The following is a DFT calculation (GGA-PBE) of a relaxed structure of NaCa3Tl2.

```
NaCa3Tl2
1.0
-0.804 -3.427 1.735
1.587 -1.911 -3.038
11.282 0.255 5.731
Ca Tl Na
3 2 1
direct
0.000 0.000 0.000
0.000 0.000 0.297
0.000 0.000 0.703
0.500 0.500 0.155
0.500 0.500 0.845
0.500 0.500 0.500
```

Output
symmetry: P4/mmm
magnetic moment: 0.0 μB per cell

***

Name the most stable of them. ii.

***

i.
The following is a DFT calculation (GGA-PBE) of a relaxed structure of Na2Ca2Tl.

```
Na2Ca2Tl
1.0
-3.911 1.262 0.579
-1.388 -3.588 -1.558
-2.584 -5.228 8.815
Na Ca Tl
2 2 1
direct
0.750 0.250 0.500
0.250 0.750 0.500
0.588 0.588 0.824
0.412 0.412 0.176
0.000 0.000 0.000
```

Output
symmetry: I4/mmm
magnetic moment: 0.0 μB per cell

***

ii.
The following is a DFT calculation (GGA-PBE) of a relaxed structure of Na2Ca2Tl.

```
Na2Ca2Tl
1.0
-1.185 -4.233 6.712
7.439 -2.955 -0.551
1.811 4.026 2.859
Na Tl Ca
4 2 4
direct
0.868 0.632 0.000
0.132 0.368 0.000
0.368 0.868 0.000
0.632 0.132 0.000
0.000 0.000 0.000
0.500 0.500 0.000
0.185 0.685 0.500
0.815 0.315 0.500
0.685 0.815 0.500
0.315 0.185 0.500
```

Output
symmetry: P4/mbm
magnetic moment: 0.0 μB per cell

***

Name the most stable of them. i.

***

i.
The following is a DFT calculation (GGA-PBE) of a relaxed structure of Na3CaTl.

```
Na3CaTl
1.0
-3.750 -4.056 3.225
-1.118 -3.253 -5.393
5.060 -3.726 1.198
Na Ca Tl
3 1 1
direct
0.500 0.000 0.000
0.000 0.500 0.000
0.000 0.000 0.500
0.000 0.000 0.000
0.500 0.500 0.500
```

Output
symmetry: Pm-3m
magnetic moment: 0.0 μB per cell

***

ii.
The following is a DFT calculation (GGA-PBE) of a relaxed structure of Na3CaTl.

```
Na3CaTl
1.0
-5.315 2.339 -0.883
-2.383 -5.367 0.130
-0.755 0.476 5.805
Na Tl Ca
3 1 1
direct
0.000 0.500 0.000
0.500 0.000 0.000
0.000 0.000 0.500
0.000 0.000 0.000
0.500 0.500 0.500
```

Output
symmetry: Pm-3m
magnetic moment: 0.0 μB per cell

***

Name the most stable of them. ii.